Record 1
This record from Alexandria describes a relaxed La3PmPr4 crystal. The functional is PBE-GGA.

a b c (Å): 10.554 7.400 7.416
angles (deg): 90.00 90.00 90.00
Space group Pmn2_1 (No. 31)
Asymmetric unit:
La1 0.000 0.249 0.000 (multiplicity 2)
La2 0.249 0.500 0.250 (multiplicity 4)
Pm1 0.000 0.750 0.999 (multiplicity 2)
Pr1 0.000 0.250 0.502 (multiplicity 2)
Pr2 0.000 0.751 0.500 (multiplicity 2)
Pr3 0.249 0.000 0.250 (multiplicity 4)

Record 2
This record from Alexandria describes a relaxed La3Pm2Pr9 crystal. The functional is PBE-GGA.

a b c (Å): 18.479 10.670 5.612
angles (deg): 90.00 107.62 90.00
Space group C2/m (No. 12)
Asymmetric unit:
La1 0.000 0.000 0.000 (multiplicity 2)
La2 0.172 0.000 0.672 (multiplicity 4)
Pm1 0.000 0.245 0.500 (multiplicity 4)
Pr1 0.000 0.500 0.000 (multiplicity 2)
Pr2 0.124 0.226 0.122 (multiplicity 8)
Pr3 0.193 0.350 0.690 (multiplicity 8)

Record 3
This record from Alexandria describes a relaxed La5Pm3Pr4 crystal. The functional is PBE-GGA.

## Properties
Energy relative to the lowest polymorph listed for this composition (meV per atom): 195

a b c (Å): 18.676 5.934 9.120
angles (deg): 90.00 119.01 90.00
Space group C2/m (No. 12)
Asymmetric unit:
La1 0.000 0.000 0.000 (multiplicity 2)
La2 0.104 0.500 0.427 (multiplicity 4)
La3 0.167 0.500 0.900 (multiplicity 4)
Pm1 0.000 0.500 0.000 (multiplicity 2)
Pm2 0.183 0.000 0.224 (multiplicity 4)
Pr1 0.032 0.000 0.706 (multiplicity 4)
Pr2 0.201 0.000 0.648 (multiplicity 4)

Record 4
This record from Alexandria describes a relaxed La2Pm6Pr crystal. The functional is PBE-GGA.

## Properties
Energy relative to the lowest polymorph listed for this composition (meV per atom): 0

a b c (Å): 10.068 17.518 3.588
angles (deg): 90.00 90.00 90.00
Space group Cmmm (No. 65)
Asymmetric unit:
La1 0.000 0.167 0.000 (multiplicity 4)
Pm1 0.167 0.334 0.500 (multiplicity 8)
Pm2 0.168 0.000 0.500 (multiplicity 4)
Pr1 0.000 0.500 0.000 (multiplicity 2)

Record 5
This record from Alexandria describes a relaxed LaPm8Pr2 crystal. The functional is PBE-GGA.

## Properties
Energy relative to the lowest polymorph listed for this composition (meV per atom): 0

a b c (Å): 5.716 8.403 16.230
angles (deg): 90.00 90.00 90.00
Space group Immm (No. 71)
Asymmetric unit:
La1 0.000 0.000 0.000 (multiplicity 2)
Pm1 0.000 0.206 0.500 (multiplicity 4)
Pm2 0.000 0.295 0.138 (multiplicity 8)
Pm3 0.000 0.500 0.340 (multiplicity 4)
Pr1 0.000 0.000 0.300 (multiplicity 4)

Record 6
This record from Alexandria describes a relaxed La3Pm2Pr3 crystal. The functional is PBE-GGA.

## Properties
Energy relative to the lowest polymorph listed for this composition (meV per atom): 55

a b c (Å): 16.902 5.986 6.184
angles (deg): 90.00 111.35 90.00
Space group C2/m (No. 12)
Asymmetric unit:
La1 0.000 0.000 0.000 (multiplicity 2)
La2 0.135 0.000 0.578 (multiplicity 4)
Pm1 0.249 0.500 0.818 (multiplicity 4)
Pr1 0.000 0.500 0.500 (multiplicity 2)
Pr2 0.134 0.500 0.187 (multiplicity 4)

Record 7
This record from Alexandria describes a relaxed LaPmPr2 crystal. The functional is PBE-GGA.

## Properties
Energy relative to the lowest polymorph listed for this composition (meV per atom): 0

a b c (Å): 5.229 5.229 5.253
angles (deg): 90.00 90.00 90.00
Space group P4/mmm (No. 123)
Asymmetric unit:
La1 0.000 0.000 0.000 (multiplicity 1)
Pm1 0.500 0.500 0.000 (multiplicity 1)
Pr1 0.000 0.500 0.500 (multiplicity 2)

Record 8
This record from Alexandria describes a relaxed La6Pm12Pr crystal. The functional is PBE-GGA.

## Properties
Energy relative to the lowest polymorph listed for this composition (meV per atom): 103

a b c (Å): 12.3937 12.3937 15.3044
angles (deg): 90.00 90.00 120.00
Space group R-3 (No. 148, hexagonal axes)
Asymmetric unit:
La1 0.0112 0.5911 0.1843 (multiplicity 18)
Pm1 0.0003 0.1707 0.6904 (multiplicity 18)
Pm2 0.0494 0.1952 0.9167 (multiplicity 18)
Pr1 0.0000 0.0000 0.5000 (multiplicity 3)

Record 9
This record from Alexandria describes a relaxed La8PmPr2 crystal. The functional is PBE-GGA.

a b c (Å): 9.344 17.044 6.165
angles (deg): 90.00 124.55 90.00
Space group C2/m (No. 12)
Asymmetric unit:
La1 0.000 0.204 0.000 (multiplicity 4)
La2 0.078 0.500 0.798 (multiplicity 4)
La3 0.215 0.118 0.685 (multiplicity 8)
Pm1 0.000 0.000 0.000 (multiplicity 2)
Pr1 0.000 0.309 0.500 (multiplicity 4)

Record 10
This record from Alexandria describes a relaxed La6Pm3Pr2 crystal. The functional is PBE-GGA.

## Properties
Energy relative to the lowest polymorph listed for this composition (meV per atom): 0

a b c (Å): 5.236 8.311 9.812
angles (deg): 74.99 74.67 89.97
Space group P-1 (No. 2)
Asymmetric unit:
La1 0.045 0.227 0.410 (multiplicity 2)
La2 0.137 0.684 0.227 (multiplicity 2)
La3 0.409 0.045 0.683 (multiplicity 2)
Pm1 0.227 0.136 0.046 (multiplicity 2)
Pm2 0.500 0.500 0.500 (multiplicity 1)
Pr1 0.317 0.589 0.865 (multiplicity 2)

Record 11
This record from Alexandria describes a relaxed LaPm3Pr crystal. The functional is PBE-GGA.

## Properties
Energy relative to the lowest polymorph listed for this composition (meV per atom): 163

a b c (Å): 17.762 6.946 6.130
angles (deg): 90.00 110.05 90.00
Space group C2/m (No. 12)
Asymmetric unit:
La1 0.000 0.000 0.000 (multiplicity 2)
La2 0.000 0.000 0.500 (multiplicity 2)
Pm1 0.154 0.264 0.403 (multiplicity 8)
Pm2 0.227 0.000 0.976 (multiplicity 4)
Pr1 0.048 0.500 0.798 (multiplicity 4)

Record 12
This record from Alexandria describes a relaxed La8Pm3Pr2 crystal. The functional is PBE-GGA.

## Properties
Energy relative to the lowest polymorph listed for this composition (meV per atom): 38

a b c (Å): 20.972 7.761 5.932
angles (deg): 90.00 90.02 90.00
Space group C2/m (No. 12)
Asymmetric unit:
La1 0.103 0.203 0.000 (multiplicity 8)
La2 0.134 0.500 0.500 (multiplicity 4)
La3 0.173 0.000 0.501 (multiplicity 4)
Pm1 0.000 0.219 0.500 (multiplicity 4)
Pm2 0.000 0.500 0.000 (multiplicity 2)
Pr1 0.242 0.500 0.999 (multiplicity 4)

Record 13
This record from Alexandria describes a relaxed La3PmPr3 crystal. The functional is PBE-GGA.

## Properties
Energy relative to the lowest polymorph listed for this composition (meV per atom): 166

a b c (Å): 9.0431 9.0431 21.9164
angles (deg): 90.00 90.00 120.00
Space group R-3 (No. 148, hexagonal axes)
Asymmetric unit:
La1 0.0048 0.7566 0.0558 (multiplicity 18)
Pm1 0.0000 0.0000 0.3553 (multiplicity 6)
Pr1 0.0567 0.6086 0.8815 (multiplicity 18)

Record 14
This record from Alexandria describes a relaxed La4Pm8Pr crystal. The functional is PBE-GGA.

a b c (Å): 6.494 7.849 10.047
angles (deg): 84.07 78.55 70.23
Space group P-1 (No. 2)
Asymmetric unit:
La1 0.000 0.000 0.000 (multiplicity 1)
La2 0.000 0.500 0.000 (multiplicity 1)
La3 0.500 0.000 0.500 (multiplicity 1)
La4 0.500 0.500 0.500 (multiplicity 1)
Pm1 0.007 0.335 0.663 (multiplicity 2)
Pm2 0.028 0.852 0.655 (multiplicity 2)
Pm3 0.442 0.251 0.227 (multiplicity 2)
Pm4 0.479 0.821 0.186 (multiplicity 2)
Pr1 0.500 0.500 0.000 (multiplicity 1)

Record 15
This record from Alexandria describes a relaxed La2Pm4Pr crystal. The functional is PBE-GGA.

## Properties
Energy relative to the lowest polymorph listed for this composition (meV per atom): 0

a b c (Å): 7.062 7.127 10.715
angles (deg): 90.01 90.00 106.63
Space group P-1 (No. 2)
Asymmetric unit:
La1 0.000 0.000 0.000 (multiplicity 1)
La2 0.000 0.000 0.500 (multiplicity 1)
La3 0.000 0.500 0.000 (multiplicity 1)
La4 0.500 0.000 0.000 (multiplicity 1)
Pm1 0.270 0.312 0.782 (multiplicity 2)
Pm2 0.270 0.812 0.716 (multiplicity 2)
Pm3 0.271 0.312 0.218 (multiplicity 2)
Pm4 0.272 0.812 0.285 (multiplicity 2)
Pr1 0.000 0.500 0.500 (multiplicity 1)
Pr2 0.500 0.500 0.500 (multiplicity 1)

Record 16
This record from Alexandria describes a relaxed La4Pm3Pr4 crystal. The functional is PBE-GGA.

## Properties
Energy relative to the lowest polymorph listed for this composition (meV per atom): 69

a b c (Å): 3.678 9.736 22.711
angles (deg): 90.00 90.00 90.00
Space group Immm (No. 71)
Asymmetric unit:
La1 0.000 0.170 0.145 (multiplicity 8)
Pm1 0.000 0.000 0.395 (multiplicity 4)
Pm2 0.000 0.500 0.500 (multiplicity 2)
Pr1 0.000 0.311 0.000 (multiplicity 4)
Pr2 0.000 0.500 0.236 (multiplicity 4)

Record 17
This record from Alexandria describes a relaxed LaPm2Pr4 crystal. The functional is PBE-GGA.

a b c (Å): 7.200 8.575 8.617
angles (deg): 87.28 81.97 81.59
Space group P-1 (No. 2)
Asymmetric unit:
La1 0.000 0.000 0.000 (multiplicity 1)
La2 0.500 0.000 0.000 (multiplicity 1)
Pm1 0.000 0.000 0.500 (multiplicity 1)
Pm2 0.000 0.500 0.000 (multiplicity 1)
Pm3 0.000 0.500 0.500 (multiplicity 1)
Pm4 0.500 0.500 0.500 (multiplicity 1)
Pr1 0.266 0.247 0.248 (multiplicity 2)
Pr2 0.266 0.747 0.749 (multiplicity 2)
Pr3 0.380 0.642 0.147 (multiplicity 2)
Pr4 0.381 0.146 0.643 (multiplicity 2)

Record 18
This record from Alexandria describes a relaxed La5Pm2Pr6 crystal. The functional is PBE-GGA.

a b c (Å): 12.057 21.290 3.714
angles (deg): 90.00 90.00 90.00
Space group Pbam (No. 55)
Asymmetric unit:
La1 0.000 0.000 0.000 (multiplicity 2)
La2 0.082 0.274 0.000 (multiplicity 4)
La3 0.200 0.551 0.000 (multiplicity 4)
Pm1 0.173 0.712 0.500 (multiplicity 4)
Pr1 0.059 0.420 0.500 (multiplicity 4)
Pr2 0.082 0.132 0.500 (multiplicity 4)
Pr3 0.178 0.864 0.000 (multiplicity 4)

Record 19
This record from Alexandria describes a relaxed La2Pm6Pr crystal. The functional is PBE-GGA.

## Properties
Energy relative to the lowest polymorph listed for this composition (meV per atom): 570

a b c (Å): 5.724 5.724 21.998
angles (deg): 90.00 90.00 90.00
Space group P4_2/mnm (No. 136)
Asymmetric unit:
La1 0.000 0.000 0.235 (multiplicity 4)
Pm1 0.171 0.171 0.000 (multiplicity 4)
Pm2 0.223 0.223 0.379 (multiplicity 8)
Pr1 0.000 0.000 0.500 (multiplicity 2)

Record 20
This record from Alexandria describes a relaxed La3Pm7Pr2 crystal. The functional is PBE-GGA.

a b c (Å): 6.548 3.625 18.126
angles (deg): 90.00 96.38 90.00
Space group P2/m (No. 10)
Asymmetric unit:
La1 0.000 0.000 0.000 (multiplicity 1)
La2 0.046 0.500 0.661 (multiplicity 2)
Pm1 0.228 0.500 0.166 (multiplicity 2)
Pm2 0.245 0.000 0.499 (multiplicity 2)
Pm3 0.274 0.000 0.834 (multiplicity 2)
Pm4 0.500 0.500 0.000 (multiplicity 1)
Pr1 0.448 0.000 0.329 (multiplicity 2)

Looking at energy relative to the elements for the records above, in order, we have 0.08; 3.53; 2.50; 0.43; 1.16; 0.54; 0.05; 2.30; 1.24; 0.16; 0.89; 2.24; 1.40; 2.63; 1.32; 1.29; 1.77; 1.00; 5.57; 0.84 eV/f.u..